# 1
# CrHI2O

CrHI2O at its PBEsol-relaxed geometry (SCAN, Alexandria via LeMat-Bulk).

Results
Spin magnetization ... 4.10 μB per cell
Density of states at the Fermi level ... 2.32 states/eV per cell
E ... -0.7301 Ha/atom

Cell and atoms, written as CIF:
```
data_CrHI2O
_chemical_formula_sum 'Cr1 H1 I2 O1'
_space_group_name_H-M_alt 'P 4/m m m'
_space_group_IT_number 123
_space_group_name_Hall '-P 4 2'
_cell_length_a 5.469
_cell_length_b 5.469
_cell_length_c 2.910
_cell_angle_alpha 90.00
_cell_angle_beta 90.00
_cell_angle_gamma 90.00
loop_
_atom_site_label
_atom_site_type_symbol
_atom_site_fract_x
_atom_site_fract_y
_atom_site_fract_z
Cr1 Cr 0.000 0.000 0.000
H1 H 0.500 0.500 0.500
I1 I 0.000 0.500 0.500
O1 O 0.500 0.500 0.000
```

# 2
# LiOsI3

LiOsI3 at its PBEsol-relaxed geometry (SCAN, Alexandria via LeMat-Bulk).

Results
Spin magnetization ... 4.06 μB per cell
Density of states at the Fermi level ... 5.33 states/eV per cell
E_form (uncorrected) ... 1.103 eV per atom
E ... -1.3155 Ha/atom

Cell and atoms, written as CIF:
```
data_LiOsI3
_chemical_formula_sum 'Li1 Os1 I3'
_space_group_name_H-M_alt 'P m -3 m'
_space_group_IT_number 221
_space_group_name_Hall '-P 4 2 3'
_cell_length_a 5.205
_cell_length_b 5.205
_cell_length_c 5.205
_cell_angle_alpha 90.00
_cell_angle_beta 90.00
_cell_angle_gamma 90.00
loop_
_atom_site_label
_atom_site_type_symbol
_atom_site_fract_x
_atom_site_fract_y
_atom_site_fract_z
Li1 Li 0.000 0.000 0.000
Os1 Os 0.500 0.500 0.500
I1 I 0.000 0.000 0.500
```

# 3
# CuBiPbS3

CuBiPbS3 at its PBEsol-relaxed geometry (SCAN, Alexandria via LeMat-Bulk).

Results
Spin magnetization ... 0.00 μB per cell
E_form (uncorrected) ... -0.354 eV per atom
E ... -1.2285 Ha/atom

Cell and atoms, written as CIF:
```
data_CuBiPbS3
_chemical_formula_sum 'Cu4 Bi4 Pb4 S12'
_space_group_name_H-M_alt 'P n m a'
_space_group_IT_number 62
_cell_length_a 11.508
_cell_length_b 3.996
_cell_length_c 11.146
_cell_angle_alpha 90.00
_cell_angle_beta 90.00
_cell_angle_gamma 90.00
loop_
_space_group_symop_operation_xyz
'x,y,z'
'-x,-y,-z'
'-x+1/2,-y,z+1/2'
'x+1/2,y,-z+1/2'
'x+1/2,-y+1/2,-z+1/2'
'-x+1/2,y+1/2,z+1/2'
'-x,y+1/2,-z'
'x,-y+1/2,z'
loop_
_atom_site_label
_atom_site_type_symbol
_atom_site_fract_x
_atom_site_fract_y
_atom_site_fract_z
Cu1 Cu 0.236 0.250 0.206
Bi1 Bi 0.008 0.250 0.682
Pb1 Pb 0.174 0.750 0.989
S1 S 0.046 0.250 0.143
S2 S 0.121 0.750 0.555
S3 S 0.215 0.250 0.798
```

# 4
# FeOsW2

FeOsW2 at its PBEsol-relaxed geometry (SCAN, Alexandria via LeMat-Bulk).

Results
Relative energy among the computed polymorphs ... 0 meV/atom
Spin magnetization ... 1.71 μB per cell
Density of states at the Fermi level ... 2.77 states/eV per cell
ΔE_f ... 0.124 eV/atom
E ... -2.1029 Ha/atom

Cell and atoms, written as CIF:
```
data_FeOsW2
_chemical_formula_sum 'Fe1 Os1 W2'
_space_group_name_H-M_alt 'P 4/m m m'
_space_group_IT_number 123
_space_group_name_Hall '-P 4 2'
_cell_length_a 3.852
_cell_length_b 3.852
_cell_length_c 3.777
_cell_angle_alpha 90.00
_cell_angle_beta 90.00
_cell_angle_gamma 90.00
loop_
_atom_site_label
_atom_site_type_symbol
_atom_site_fract_x
_atom_site_fract_y
_atom_site_fract_z
Fe1 Fe 0.000 0.000 0.000
Os1 Os 0.500 0.500 0.000
W1 W 0.000 0.500 0.500
```

# 5
# CsAl2Ir

CsAl2Ir at its PBEsol-relaxed geometry (SCAN, Alexandria via LeMat-Bulk).

Results
Spin magnetization ... 0.01 μB per cell
Density of states at the Fermi level ... 14.73 states/eV per cell
ΔE_f ... 0.929 eV/atom
E ... -1.1089 Ha/atom

Cell and atoms, written as CIF:
```
data_CsAl2Ir
_chemical_formula_sum 'Cs4 Al8 Ir4'
_space_group_name_H-M_alt 'F m -3 m'
_space_group_IT_number 225
_space_group_name_Hall '-F 4 2 3'
_cell_length_a 6.891
_cell_length_b 6.891
_cell_length_c 6.891
_cell_angle_alpha 90.00
_cell_angle_beta 90.00
_cell_angle_gamma 90.00
loop_
_atom_site_label
_atom_site_type_symbol
_atom_site_fract_x
_atom_site_fract_y
_atom_site_fract_z
Cs1 Cs 0.000 0.000 0.000
Al1 Al 0.250 0.250 0.250
Ir1 Ir 0.000 0.000 0.500
```

# 6
# AlPt2Pb

AlPt2Pb at its PBEsol-relaxed geometry (SCAN, Alexandria via LeMat-Bulk).

Results
Spin magnetization ... 0.00 μB per cell
Density of states at the Fermi level ... 5.86 states/eV per cell
ΔE_f ... -0.244 eV/atom
E ... -2.0662 Ha/atom

Cell and atoms, written as CIF:
```
data_AlPt2Pb
_chemical_formula_sum 'Al4 Pt8 Pb4'
_space_group_name_H-M_alt 'F m -3 m'
_space_group_IT_number 225
_space_group_name_Hall '-F 4 2 3'
_cell_length_a 6.509
_cell_length_b 6.509
_cell_length_c 6.509
_cell_angle_alpha 90.00
_cell_angle_beta 90.00
_cell_angle_gamma 90.00
loop_
_atom_site_label
_atom_site_type_symbol
_atom_site_fract_x
_atom_site_fract_y
_atom_site_fract_z
Al1 Al 0.000 0.000 0.000
Pt1 Pt 0.250 0.250 0.250
Pb1 Pb 0.000 0.000 0.500
```

# 7
# RbSc2CrAs

RbSc2CrAs at its PBEsol-relaxed geometry (SCAN, Alexandria via LeMat-Bulk).

Results
Spin magnetization ... 3.14 μB per cell
Density of states at the Fermi level ... 5.10 states/eV per cell
ΔE_f ... 0.210 eV/atom
E ... -0.6375 Ha/atom

Cell and atoms, written as CIF:
```
data_RbSc2CrAs
_chemical_formula_sum 'Rb1 Sc2 Cr1 As1'
_space_group_name_H-M_alt 'P 4/m m m'
_space_group_IT_number 123
_space_group_name_Hall '-P 4 2'
_cell_length_a 5.236
_cell_length_b 5.236
_cell_length_c 4.950
_cell_angle_alpha 90.00
_cell_angle_beta 90.00
_cell_angle_gamma 90.00
loop_
_atom_site_label
_atom_site_type_symbol
_atom_site_fract_x
_atom_site_fract_y
_atom_site_fract_z
Rb1 Rb 0.000 0.000 0.000
Sc1 Sc 0.000 0.500 0.500
Cr1 Cr 0.500 0.500 0.000
As1 As 0.500 0.500 0.500
```

# 8
# CaCd5

CaCd5 at its PBEsol-relaxed geometry (SCAN, Alexandria via LeMat-Bulk).

Results
Spin magnetization ... 0.00 μB per cell
Density of states at the Fermi level ... 3.91 states/eV per cell
ΔE_f ... -0.224 eV/atom
E ... -0.9989 Ha/atom

Cell and atoms, written as CIF:
```
data_CaCd5
_chemical_formula_sum 'Ca2 Cd10'
_space_group_name_H-M_alt 'C 1 2/m 1'
_space_group_IT_number 12
_cell_length_a 8.673
_cell_length_b 4.879
_cell_length_c 6.446
_cell_angle_alpha 90.00
_cell_angle_beta 95.55
_cell_angle_gamma 90.00
loop_
_space_group_symop_operation_xyz
'x,y,z'
'-x,-y,-z'
'-x,y,-z'
'x,-y,z'
'x+1/2,y+1/2,z'
'-x+1/2,-y+1/2,-z'
'-x+1/2,y+1/2,-z'
'x+1/2,-y+1/2,z'
loop_
_atom_site_label
_atom_site_type_symbol
_atom_site_fract_x
_atom_site_fract_y
_atom_site_fract_z
Ca1 Ca 0.000 0.000 0.000
Cd1 Cd 0.000 0.000 0.500
Cd2 Cd 0.144 0.500 0.742
Cd3 Cd 0.185 0.500 0.255
```

# 9
# Co2SiPb

Co2SiPb at its PBEsol-relaxed geometry (SCAN, Alexandria via LeMat-Bulk).

Results
Relative energy among the computed polymorphs ... 0 meV/atom
Spin magnetization ... 2.50 μB per cell
Density of states at the Fermi level ... 3.55 states/eV per cell
E_form (uncorrected) ... 0.202 eV per atom
E ... -1.0988 Ha/atom

Cell and atoms, written as CIF:
```
data_Co2SiPb
_chemical_formula_sum 'Co4 Si2 Pb2'
_space_group_name_H-M_alt 'I m m 2'
_space_group_IT_number 44
_cell_length_a 2.872
_cell_length_b 3.383
_cell_length_c 12.081
_cell_angle_alpha 90.00
_cell_angle_beta 90.00
_cell_angle_gamma 90.00
loop_
_space_group_symop_operation_xyz
'x,y,z'
'-x,-y,z'
'-x,y,z'
'x,-y,z'
'x+1/2,y+1/2,z+1/2'
'-x+1/2,-y+1/2,z+1/2'
'-x+1/2,y+1/2,z+1/2'
'x+1/2,-y+1/2,z+1/2'
loop_
_atom_site_label
_atom_site_type_symbol
_atom_site_fract_x
_atom_site_fract_y
_atom_site_fract_z
Co1 Co 0.000 0.000 0.000
Co2 Co 0.000 0.500 0.324
Si1 Si 0.000 0.000 0.446
Pb1 Pb 0.000 0.500 0.692
```

# 10
# MgTlIn2

MgTlIn2 at its PBEsol-relaxed geometry (SCAN, Alexandria via LeMat-Bulk).

Results
Spin magnetization ... 0.00 μB per cell
Density of states at the Fermi level ... 1.85 states/eV per cell
ΔE_f ... -0.010 eV/atom
E ... -1.3243 Ha/atom

Cell and atoms, written as CIF:
```
data_MgTlIn2
_chemical_formula_sum 'Mg1 Tl1 In2'
_space_group_name_H-M_alt 'P 1 m 1'
_space_group_IT_number 6
_cell_length_a 3.350
_cell_length_b 5.272
_cell_length_c 5.672
_cell_angle_alpha 90.00
_cell_angle_beta 90.02
_cell_angle_gamma 90.00
loop_
_space_group_symop_operation_xyz
'x,y,z'
'x,-y,z'
loop_
_atom_site_label
_atom_site_type_symbol
_atom_site_fract_x
_atom_site_fract_y
_atom_site_fract_z
Mg1 Mg 0.000 0.000 0.000
Tl1 Tl 0.998 0.500 0.666
In1 In 0.499 0.000 0.495
In2 In 0.499 0.500 0.162
```

# 11
# ScPRuS2

ScPRuS2 at its PBEsol-relaxed geometry (SCAN, Alexandria via LeMat-Bulk).

Results
Spin magnetization ... 0.00 μB per cell
Density of states at the Fermi level ... 2.38 states/eV per cell
E_form (uncorrected) ... -0.147 eV per atom
E ... -0.5840 Ha/atom

Cell and atoms, written as CIF:
```
data_ScPRuS2
_chemical_formula_sum 'Sc1 P1 Ru1 S2'
_space_group_name_H-M_alt 'P 4/m m m'
_space_group_IT_number 123
_space_group_name_Hall '-P 4 2'
_cell_length_a 4.695
_cell_length_b 4.695
_cell_length_c 4.290
_cell_angle_alpha 90.00
_cell_angle_beta 90.00
_cell_angle_gamma 90.00
loop_
_atom_site_label
_atom_site_type_symbol
_atom_site_fract_x
_atom_site_fract_y
_atom_site_fract_z
Sc1 Sc 0.000 0.000 0.000
P1 P 0.500 0.500 0.000
Ru1 Ru 0.500 0.500 0.500
S1 S 0.000 0.500 0.500
```

# 12
# FePO4

FePO4 at its PBEsol-relaxed geometry (SCAN, Alexandria via LeMat-Bulk).

Results
Spin magnetization ... 40.00 μB per cell
Density of states at the Fermi level ... 0.00 states/eV per cell
E_form (uncorrected) ... -2.138 eV per atom
E ... -0.4060 Ha/atom

Cell and atoms, written as CIF:
```
data_FePO4
_chemical_formula_sum 'Fe8 P8 O32'
_space_group_name_H-M_alt 'P c a 21'
_space_group_IT_number 29
_cell_length_a 10.471
_cell_length_b 5.252
_cell_length_c 14.486
_cell_angle_alpha 90.00
_cell_angle_beta 90.00
_cell_angle_gamma 90.00
loop_
_space_group_symop_operation_xyz
'x,y,z'
'-x,-y,z+1/2'
'-x+1/2,y,z+1/2'
'x+1/2,-y,z'
loop_
_atom_site_label
_atom_site_type_symbol
_atom_site_fract_x
_atom_site_fract_y
_atom_site_fract_z
Fe1 Fe 0.028 0.073 0.000
Fe2 Fe 0.223 0.466 0.249
P1 P 0.029 0.573 0.874
P2 P 0.223 0.964 0.625
O1 O 0.002 0.600 0.457
O2 O 0.002 0.851 0.902
O3 O 0.055 0.497 0.290
O4 O 0.081 0.990 0.598
O5 O 0.170 0.543 0.847
O6 O 0.194 0.044 0.042
O7 O 0.247 0.685 0.151
O8 O 0.249 0.134 0.710
```